DyPaTcAg | GGA-PBE | optimized geometry

```
DyPaTcAg
1.0
7.045 0.000 0.000
0.000 7.045 0.000
0.000 0.000 7.045
Dy Pa Tc Ag
4 4 4 4
Cartesian
0.000 0.000 0.000
0.000 3.523 3.523
3.523 0.000 3.523
3.523 3.523 0.000
0.000 0.000 3.523
0.000 3.523 0.000
3.523 0.000 0.000
3.523 3.523 3.523
1.761 1.761 5.284
1.761 5.284 1.761
5.284 1.761 1.761
5.284 5.284 5.284
1.761 1.761 1.761
1.761 5.284 5.284
5.284 1.761 5.284
5.284 5.284 1.761
```

Results
SG: F-43m, No. 216
Electronic total energy in eV per atom: -6.811
DOS at the Fermi energy in states/eV per cell: 25.4
Energy of formation in eV/f.u.: 0.073

DyPaTlAg | GGA-PBE | optimized geometry

```
DyPaTlAg
1.0
7.464 0.000 0.000
0.000 7.464 0.000
0.000 0.000 7.464
Dy Pa Tl Ag
4 4 4 4
Cartesian
0.000 0.000 0.000
0.000 3.732 3.732
3.732 0.000 3.732
3.732 3.732 0.000
0.000 0.000 3.732
0.000 3.732 0.000
3.732 0.000 0.000
3.732 3.732 3.732
1.866 1.866 1.866
1.866 5.598 5.598
5.598 1.866 5.598
5.598 5.598 1.866
1.866 1.866 5.598
1.866 5.598 1.866
5.598 1.866 1.866
5.598 5.598 5.598
```

Results
SG: F-43m, No. 216
Electronic total energy in eV per atom: -4.728
DOS at the Fermi energy in states/eV per cell: 32.6
Energy of formation in eV/f.u.: 0.403

DyAgPb | GGA-PBE | optimized geometry

```
DyAgPb
1.0
4.875 0.000 0.000
-2.437 4.222 0.000
0.000 0.000 7.711
Dy Ag Pb
2 2 2
Cartesian
0.000 0.000 1.628
0.000 0.000 6.083
0.000 2.815 0.014
2.437 1.407 7.697
0.000 2.815 3.190
2.437 1.407 4.521
```

Results
SG: P-3m1, No. 164
Electronic total energy in eV per atom: -3.907
DOS at the Fermi energy in states/eV per cell: 4.1
Energy of formation in eV/f.u.: -0.560

Dy6Ag5Pb | GGA-PBE | optimized geometry

```
Dy6Ag5Pb
1.0
2.591 -7.799 0.000
2.591 7.799 0.000
0.000 0.000 7.360
Dy Ag Pb
6 5 1
Cartesian
0.000 0.000 1.777
0.000 0.000 5.583
2.591 2.657 1.796
2.591 2.657 5.564
2.591 -2.657 1.796
2.591 -2.657 5.564
2.591 5.218 0.000
2.591 5.185 3.680
2.591 0.000 0.000
2.591 -5.185 3.680
2.591 -5.218 0.000
2.591 0.000 3.680
```

Results
SG: Cmmm, No. 65
Electronic total energy in eV per atom: -4.139
DOS at the Fermi energy in states/eV per cell: 8.4
Energy of formation in eV/f.u.: -4.093

Dy5Ag4Pb | GGA-PBE | optimized geometry

```
Dy5Ag4Pb
1.0
3.579 0.000 0.000
0.000 3.579 0.000
0.000 0.000 19.392
Dy Ag Pb
5 4 1
Cartesian
0.000 0.000 0.000
0.000 0.000 3.725
0.000 0.000 7.470
0.000 0.000 11.922
0.000 0.000 15.666
1.789 1.789 1.882
1.789 1.789 5.570
1.789 1.789 13.822
1.789 1.789 17.509
1.789 1.789 9.696
```

Results
SG: P4/mmm, No. 123
Electronic total energy in eV per atom: -4.154
DOS at the Fermi energy in states/eV per cell: 4.5
Energy of formation in eV/f.u.: -3.420

DyAgPb | GGA-PBE | optimized geometry

```
DyAgPb
1.0
3.483 0.000 0.000
0.000 3.618 0.000
0.000 0.000 12.833
Dy Ag Pb
2 2 2
Cartesian
0.000 0.000 0.000
0.000 1.809 6.417
0.000 0.000 8.781
0.000 1.809 2.365
1.742 0.000 4.180
1.742 1.809 10.597
```

Results
SG: Amm2, No. 38
Electronic total energy in eV per atom: -3.702
DOS at the Fermi energy in states/eV per cell: 5.0
Energy of formation in eV/f.u.: 0.055

Dy2AgPb2 | GGA-PBE | optimized geometry

```
Dy2AgPb2
1.0
9.503 0.000 0.000
0.000 7.704 0.000
-0.085 0.000 7.587
Dy Ag Pb
8 4 8
Cartesian
0.817 1.647 3.773
0.775 2.205 7.566
3.360 5.169 7.568
3.402 6.387 3.774
6.016 1.317 3.812
6.058 2.535 0.019
8.643 5.498 0.021
8.600 6.057 3.814
1.304 4.308 5.314
1.347 7.248 1.521
8.071 0.456 6.066
8.113 3.396 2.272
1.457 4.391 2.243
1.414 7.164 6.037
3.583 1.482 1.736
3.541 2.370 5.529
5.877 5.333 2.058
5.835 6.222 5.851
8.004 0.539 1.550
7.961 3.312 5.344
```

Results
SG: P2_1/c, No. 14
Electronic total energy in eV per atom: -4.234
DOS at the Fermi energy in states/eV per cell: 10.9
Energy of formation in eV/f.u.: -1.700

Dy3AgPb | GGA-PBE | optimized geometry

```
Dy3AgPb
1.0
11.884 -2.319 0.000
11.884 2.319 0.000
-0.012 0.000 4.909
Dy Ag Pb
6 2 2
Cartesian
1.195 0.000 1.218
3.828 0.000 3.675
7.894 0.000 3.686
15.862 0.000 1.223
19.928 0.000 1.234
22.561 0.000 3.691
5.983 0.000 1.228
17.773 0.000 3.681
10.341 0.000 1.236
13.415 0.000 3.673
```

Results
SG: C2/m, No. 12
Electronic total energy in eV per atom: -4.380
DOS at the Fermi energy in states/eV per cell: 11.3
Energy of formation in eV/f.u.: -1.533

DyAgPb | GGA-PBE | optimized geometry

```
DyAgPb
1.0
3.600 0.000 0.000
0.000 3.600 0.000
0.000 0.000 11.771
Dy Ag Pb
2 2 2
Cartesian
0.000 0.000 0.000
1.800 1.800 5.885
0.000 0.000 7.633
1.800 1.800 1.748
0.000 0.000 3.619
1.800 1.800 9.504
```

Results
SG: I4mm, No. 107
Electronic total energy in eV per atom: -3.938
DOS at the Fermi energy in states/eV per cell: 3.6
Energy of formation in eV/f.u.: -0.653

DyAg4Pb | GGA-PBE | optimized geometry

```
DyAg4Pb
1.0
0.000 4.012 4.012
4.012 0.000 4.012
4.012 4.012 0.000
Dy Ag Pb
1 4 1
Cartesian
0.000 0.000 0.000
3.006 3.006 3.006
5.019 5.019 3.006
5.019 3.006 5.019
3.006 5.019 5.019
6.019 6.019 6.019
```

Results
SG: F-43m, No. 216
Electronic total energy in eV per atom: -3.430
DOS at the Fermi energy in states/eV per cell: 4.1
Energy of formation in eV/f.u.: -0.865
Distance to the lowest polymorph of the same formula in eV/atom: 0.000

DyAgPb | GGA-PBE | optimized geometry

```
DyAgPb
1.0
9.612 0.000 0.000
0.000 4.549 0.000
0.000 0.000 7.213
Dy Ag Pb
4 4 4
Cartesian
1.083 1.137 1.460
3.723 3.411 5.066
5.889 1.137 2.147
8.529 3.411 5.753
1.071 3.411 3.589
3.735 1.137 7.196
5.877 3.411 0.017
8.541 1.137 3.624
1.299 1.137 5.479
3.507 3.411 1.873
6.105 1.137 5.340
8.313 3.411 1.734
```

Results
SG: Pnma, No. 62
Electronic total energy in eV per atom: -4.037
DOS at the Fermi energy in states/eV per cell: 4.0
Energy of formation in eV/f.u.: -0.948

DyAg4Pb | GGA-PBE | optimized geometry

```
DyAg4Pb
1.0
4.894 0.000 0.000
-2.447 4.238 0.000
0.000 0.000 6.343
Dy Ag Pb
1 4 1
Cartesian
0.000 0.000 0.000
0.000 2.826 1.517
0.000 2.826 4.825
2.447 1.413 1.517
2.447 1.413 4.825
0.000 0.000 3.171
```

Results
SG: P6/mmm, No. 191
Electronic total energy in eV per atom: -3.427
DOS at the Fermi energy in states/eV per cell: 1.7
Energy of formation in eV/f.u.: -0.848
Distance to the lowest polymorph of the same formula in eV/atom: 0.003

no.,magnetic moment (Bohr magnetons per cell)
1,0.002
2,8.600
3,0.000
4,0.000
5,0.000
6,0.321
7,0.000
8,0.006
9,0.171
10,0.000
11,0.000
12,0.000